Entry from Alexandria via LeMat-Bulk: a relaxed Sm4TlIn3 crystal (PBE-GGA).

Properties
Uncorrected energy = -4.15 eV/atom
E_form = -0.465 eV/atom
Energy above the lowest structure with this stoichiometry = 0.000 eV/atom

Lattice parameters (Å, degrees): 3.8363 3.8363 15.4009 90.00 90.00 90.00
Element x y z (fractional)
Sm  0.0000  0.0000  0.1274
Sm  0.0000  0.0000  0.3763
Sm  0.0000  0.0000  0.6237
Sm  0.0000  0.0000  0.8726
In  0.5000  0.5000  0.2516
In  0.5000  0.5000  0.7484
In  0.5000  0.5000  0.5000
Tl  0.5000  0.5000  0.0000